Entry 1:
Density functional theory data (PBE-GGA) for PmPr4NdTm2 after structural relaxation.

## Properties
Crystal system: monoclinic
Energy, eV for the cell shown: -37.46
Space-group type: P2/m, No. 10
D(E_F), states/eV per cell: 11.1

Cell lengths 5.196, 5.163, 11.440 Å; angles 63.11, 90.00, 90.00 degrees
Fractional coordinates of all 8 atoms:
Pm 0.000 0.500 0.500
Pr 0.000 0.750 0.750
Pr 0.000 0.250 0.250
Pr 0.500 0.749 0.251
Pr 0.500 0.251 0.749
Nd 0.500 0.500 0.000
Tm 0.000 0.000 0.000
Tm 0.500 0.000 0.500

---

Entry 2:
Density functional theory data (PBE-GGA) for Ac2CuPbO5 after structural relaxation.

## Properties
Crystal system: tetragonal
Energy, eV for the cell shown: -111.76
Space-group type: P4/mbm, No. 127
D(E_F), states/eV per cell: 8.8

Cell lengths 6.467, 7.203, 7.203 Å; angles 90.00, 90.00, 90.00 degrees
Fractional coordinates of all 18 atoms:
Ac 0.500 0.681 0.181
Ac 0.500 0.181 0.319
Ac 0.500 0.819 0.681
Ac 0.500 0.319 0.819
Cu 0.000 0.500 0.500
Cu 0.000 0.000 0.000
Pb 0.000 0.000 0.500
Pb 0.000 0.500 0.000
O 0.500 0.500 0.500
O 0.500 0.000 0.000
O 0.259 0.139 0.639
O 0.259 0.861 0.361
O 0.259 0.361 0.139
O 0.259 0.639 0.861
O 0.741 0.139 0.639
O 0.741 0.639 0.861
O 0.741 0.861 0.361
O 0.741 0.361 0.139